FeBO2 | PBE with a Hubbard U | optimized geometry

Summary:
The total energy comes out at -6.687 eV/atom. The density comes out at 3.842 g/cm3.

Lattice parameters (Å, degrees): 5.3054 5.3054 5.3054 34.45 34.45 34.45
Last column: nearest neighbours and their distance in Å.
Sites, in units of the cell vectors:
Fe (0.0000, 0.0000, 0.0000)  6 O 2.15
B (0.5000, 0.5000, 0.5000)  2 O 1.33
O (0.4108, 0.4108, 0.4108)  1 B 1.33
O (0.5892, 0.5892, 0.5892)  1 B 1.33